Computed, not measured: a relaxed Ni5Rh crystal at the PBE-GGA level of DFT.

a = 2.5697 Å, b = 12.2878 Å, c = 2.5697 Å
α = 90.00°, β = 60.00°, γ = 90.00°
Positions (direct):
Ni (0.0000, 0.4957, 0.0000)
Ni (0.6667, 0.6583, 0.6667)
Ni (0.6667, 0.1710, 0.6667)
Ni (0.0000, 0.0083, 0.0000)
Ni (0.3333, 0.3333, 0.3333)
Rh (0.3333, 0.8333, 0.3333)

E_form   52 meV per atom